Entry a
# NaBe3P, optimized geometry, DFT PBE-GGA
data_NaBe3P
_chemical_formula_sum 'Na1 Be3 P1'
_cell_length_a 4.257
_cell_length_b 4.257
_cell_length_c 4.257
_cell_angle_alpha 90.00
_cell_angle_beta 90.00
_cell_angle_gamma 90.00
_space_group_name_H-M_alt 'P 1'
_space_group_IT_number 1
loop_
_space_group_symop_operation_xyz
'x,y,z'
loop_
_atom_site_label
_atom_site_type_symbol
_atom_site_fract_x
_atom_site_fract_y
_atom_site_fract_z
_atom_site_occupancy
P1 P 0.000 0.000 0.000 1
Na1 Na 0.500 0.500 0.500 1
Be1 Be 0.500 0.000 0.000 1
Be2 Be 0.000 0.000 0.500 1
Be3 Be 0.000 0.500 0.000 1
# symmetry	Pm-3m, No. 221
# mass density	1.7	g/cm³

***

Entry b
# NaBe3P, optimized geometry, DFT PBE-GGA
data_NaBe3P
_chemical_formula_sum 'Na1 Be3 P1'
_cell_length_a 4.389
_cell_length_b 4.389
_cell_length_c 4.389
_cell_angle_alpha 90.00
_cell_angle_beta 90.00
_cell_angle_gamma 90.00
_space_group_name_H-M_alt 'P 1'
_space_group_IT_number 1
loop_
_space_group_symop_operation_xyz
'x,y,z'
loop_
_atom_site_label
_atom_site_type_symbol
_atom_site_fract_x
_atom_site_fract_y
_atom_site_fract_z
_atom_site_occupancy
Be1 Be 0.500 0.000 0.000 1
Be2 Be 0.000 0.500 0.000 1
Be3 Be 0.000 0.000 0.500 1
P1 P 0.500 0.500 0.500 1
Na1 Na 0.000 0.000 0.000 1
# symmetry	Pm-3m, No. 221
# mass density	1.6	g/cm³

***

Stability, lowest: entry b